Record 1
The following is a DFT calculation (PBE) of an optimized crystal structure of RbBiH.

Results
E above lowest polymorph	0.41	eV per formula unit

a b c (Å): 10.5701 4.9483 7.3771
angles (deg): 90.00 90.00 90.00
Closest atoms and distances in Å follow each position.
Element x y z (fractional)
Rb 0.1792 0.2500 0.1019  2 H 2.87-2.90
Rb 0.3208 0.7500 0.6019  2 H 2.87-2.90
Rb 0.6792 0.2500 0.3981  2 H 2.87-2.90
Rb 0.8208 0.7500 0.8981  2 H 2.87-2.90
Bi 0.0332 0.2500 0.6171  3 H 2.52-2.56
Bi 0.4668 0.7500 0.1171  3 H 2.52-2.56
Bi 0.5332 0.2500 0.8829  3 H 2.52-2.56
Bi 0.9668 0.7500 0.3829  3 H 2.52-2.56
H 0.0574 0.7500 0.6982  3 Bi 2.52-2.56
H 0.4426 0.2500 0.1982  3 Bi 2.52-2.56
H 0.5574 0.7500 0.8018  3 Bi 2.52-2.56
H 0.9426 0.2500 0.3018  3 Bi 2.52-2.56

=====

Record 2
The following is a DFT calculation (PBE) of an optimized crystal structure of Sm4DyCu5.

Results
DFT formation energy	-196	meV/atom

a b c (Å): 3.5110 3.5110 17.7767
angles (deg): 90.00 90.00 90.00
Closest atoms and distances in Å follow each position.
Element x y z (fractional)
Sm 0.0000 0.0000 0.1005  8 Cu 3.05-3.06
Sm 0.0000 0.0000 0.3023  8 Cu 3.07-3.09
Sm 0.0000 0.0000 0.6977  8 Cu 3.07-3.09
Sm 0.0000 0.0000 0.8995  8 Cu 3.05-3.06
Dy 0.0000 0.0000 0.5000  8 Cu 3.00
Cu 0.5000 0.5000 0.0000  8 Sm 3.06
Cu 0.5000 0.5000 0.2006  8 Sm 3.05-3.07
Cu 0.5000 0.5000 0.4053  4 Dy 3.00, 4 Sm 3.09
Cu 0.5000 0.5000 0.5947  4 Dy 3.00, 4 Sm 3.09
Cu 0.5000 0.5000 0.7994  8 Sm 3.05-3.07

=====

Record 3
The following is a DFT calculation (PBE) of an optimized crystal structure of SrPa2TlO8.

Results
ΔE_f (raw)	-2.6504	eV/atom

a b c (Å): 5.2378 5.2378 7.2228
angles (deg): 90.00 90.00 92.16
Closest atoms and distances in Å follow each position.
Element x y z (fractional)
Sr 0.0000 0.0000 0.0000  6 O 2.49
Pa 0.5000 0.5000 0.2518  6 O 2.10-2.24
Pa 0.5000 0.5000 0.7482  6 O 2.10-2.24
Tl 0.0000 0.0000 0.5000  6 O 2.27-2.43
O 0.2122 0.2122 0.2700  1 Pa 2.10, 1 Tl 2.27
O 0.2122 0.2122 0.7300  1 Pa 2.10, 1 Tl 2.27
O 0.3217 0.6783 0.5000  2 Pa 2.24, 1 Tl 2.43
O 0.3294 0.6706 0.0000  2 Pa 2.23, 1 Sr 2.49
O 0.6706 0.3294 0.0000  2 Pa 2.23, 1 Sr 2.49
O 0.6783 0.3217 0.5000  2 Pa 2.24, 1 Tl 2.43
O 0.7878 0.7878 0.2700  1 Pa 2.10, 1 Tl 2.27
O 0.7878 0.7878 0.7300  1 Pa 2.10, 1 Tl 2.27

=====

Record 4
The following is a DFT calculation (PBE) of an optimized crystal structure of LiZn9Cu2.

Results
E above lowest polymorph	0.12	eV per formula unit
DFT formation energy	-50	meV/atom

a b c (Å): 8.4840 8.4840 2.8552
angles (deg): 90.00 90.00 120.00
Closest atoms and distances in Å follow each position.
Element x y z (fractional)
Li 0.0000 0.0000 0.0000  2 Li 2.86, 12 Zn 2.99
Zn 0.0000 0.5000 0.0000  2 Cu 2.45
Zn 0.1791 0.3583 0.5000  8 Zn 2.63-2.86, 2 Cu 2.68
Zn 0.1791 0.8209 0.5000  8 Zn 2.63-2.86, 2 Cu 2.68
Zn 0.3583 0.1791 0.5000  8 Zn 2.63-2.86, 2 Cu 2.68
Zn 0.5000 0.0000 0.0000  2 Cu 2.45
Zn 0.5000 0.5000 0.0000  2 Cu 2.45
Zn 0.6417 0.8209 0.5000  8 Zn 2.63-2.86, 2 Cu 2.68
Zn 0.8209 0.1791 0.5000  8 Zn 2.63-2.86, 2 Cu 2.68
Zn 0.8209 0.6417 0.5000  8 Zn 2.63-2.86, 2 Cu 2.68
Cu 0.3333 0.6667 0.0000  9 Zn 2.45-2.68
Cu 0.6667 0.3333 0.0000  9 Zn 2.45-2.68

=====

Record 5
The following is a DFT calculation (PBE) of an optimized crystal structure of SiPb2Se.

Results
E above lowest polymorph	0.00	eV per formula unit
ΔE_f (raw)	0.0509	eV/atom

a b c (Å): 4.2626 6.0072 4.2648
angles (deg): 90.00 90.00 90.00
Closest atoms and distances in Å follow each position.
Element x y z (fractional)
Si 0.0000 0.0000 0.0000  6 Pb 3.00-3.02
Pb 0.0000 0.5000 0.9978  2 Si 3.00, 4 Se 3.01-3.02
Pb 0.5000 0.0000 0.4994  2 Se 3.00, 4 Si 3.01-3.02
Se 0.5000 0.5000 0.4984  6 Pb 3.00-3.02

=====

Record 6
The following is a DFT calculation (PBE) of an optimized crystal structure of CsTeMo3.

Results
ΔE_f (raw)	3.0889	eV/atom

a b c (Å): 4.9834 4.9834 4.9834
angles (deg): 90.00 90.00 90.00
Closest atoms and distances in Å follow each position.
Element x y z (fractional)
Cs 0.0000 0.0000 0.0000  6 Mo 2.49
Te 0.5000 0.5000 0.5000  12 Mo 3.52
Mo 0.0000 0.0000 0.5000  2 Cs 2.49
Mo 0.0000 0.5000 0.0000  2 Cs 2.49
Mo 0.5000 0.0000 0.0000  2 Cs 2.49

=====

Record 7
The following is a DFT calculation (PBE) of an optimized crystal structure of Cr4TcNi.

Results
DFT formation energy	100	meV/atom

a b c (Å): 4.6914 4.6914 4.6914
angles (deg): 60.00 60.00 60.00
Closest atoms and distances in Å follow each position.
Element x y z (fractional)
Cr 0.1243 0.1243 0.1243  6 Cr 2.33-2.36
Cr 0.1243 0.1243 0.6270  6 Cr 2.33-2.36
Cr 0.1243 0.6270 0.1243  6 Cr 2.33-2.36
Cr 0.6270 0.1243 0.1243  6 Cr 2.33-2.36
Tc 0.5000 0.5000 0.5000  12 Cr 2.75, 4 Ni 2.87
Ni 0.7500 0.7500 0.7500  12 Cr 2.75, 4 Tc 2.87

=====

Record 8
The following is a DFT calculation (PBE) of an optimized crystal structure of CdAg8Pd5.

Results
DFT formation energy	105	meV/atom

a b c (Å): 6.9304 6.9304 6.9304
angles (deg): 111.12 111.12 106.23
Closest atoms and distances in Å follow each position.
Element x y z (fractional)
Cd 0.0000 0.0000 0.0000  4 Ag 2.70
Ag 0.1020 0.3229 0.4334  5 Pd 2.65-2.81, 1 Cd 2.70, 2 Ag 2.87-2.91
Ag 0.2760 0.1754 0.7666  5 Pd 2.77-2.94, 3 Ag 2.82-2.91
Ag 0.3314 0.8980 0.2209  5 Pd 2.65-2.81, 1 Cd 2.70, 2 Ag 2.87-2.91
Ag 0.4088 0.5094 0.2334  5 Pd 2.77-2.94, 3 Ag 2.82-2.91
Ag 0.4906 0.7240 0.8994  5 Pd 2.77-2.94, 3 Ag 2.82-2.91
Ag 0.6771 0.1105 0.7791  5 Pd 2.65-2.81, 1 Cd 2.70, 2 Ag 2.87-2.91
Ag 0.8246 0.5912 0.1006  5 Pd 2.77-2.94, 3 Ag 2.82-2.91
Ag 0.8895 0.6686 0.5666  5 Pd 2.65-2.81, 1 Cd 2.70, 2 Ag 2.87-2.91
Pd 0.0327 0.4488 0.8203  8 Ag 2.73-2.94, 2 Pd 2.92
Pd 0.2500 0.7500 0.5000  8 Ag 2.65-2.77
Pd 0.5512 0.3715 0.5839  8 Ag 2.73-2.94, 2 Pd 2.92
Pd 0.6285 0.2125 0.1797  8 Ag 2.73-2.94, 2 Pd 2.92
Pd 0.7875 0.9673 0.4161  8 Ag 2.73-2.94, 2 Pd 2.92